# 1
## LaMg7Al5 (PBE)

Data for a relaxed LaMg7Al5 crystal.

Structure (CIF):
```
data_LaMg7Al5
_chemical_formula_sum 'La1 Mg7 Al5'
_space_group_name_H-M_alt 'P 1'
_space_group_IT_number 1
_cell_length_a 7.545
_cell_length_b 7.545
_cell_length_c 7.545
_cell_angle_alpha 136.12
_cell_angle_beta 98.39
_cell_angle_gamma 97.66
loop_
_space_group_symop_operation_xyz
'x,y,z'
loop_
_atom_site_label
_atom_site_type_symbol
_atom_site_fract_x
_atom_site_fract_y
_atom_site_fract_z
_atom_site_occupancy
La1 La 0.000 0.000 0.000 1
Mg1 Mg 0.199 0.489 0.710 1
Mg2 Mg 0.339 0.987 0.351 1
Mg3 Mg 0.343 0.343 0.000 1
Mg4 Mg 0.636 0.987 0.649 1
Mg5 Mg 0.641 0.641 0.000 1
Mg6 Mg 0.770 0.270 0.500 1
Mg7 Mg 0.779 0.489 0.290 1
Al1 Al 0.202 0.702 0.500 1
Al2 Al 0.482 0.487 0.493 1
Al3 Al 0.482 0.989 0.995 1
Al4 Al 0.994 0.487 0.005 1
Al5 Al 0.994 0.989 0.507 1
```

Values from the calculation:
- E_form: -1.63 eV per formula unit
- Crystal system: orthorhombic

=====

# 2
## Cs2Nd2PtO6 (PBE)

Data for a relaxed Cs2Nd2PtO6 crystal.

Structure (CIF):
```
data_Cs2Nd2PtO6
_chemical_formula_sum 'Cs2 Nd2 Pt1 O6'
_space_group_name_H-M_alt 'P 1'
_space_group_IT_number 1
_cell_length_a 6.049
_cell_length_b 6.049
_cell_length_c 7.227
_cell_angle_alpha 97.16
_cell_angle_beta 97.16
_cell_angle_gamma 119.46
loop_
_space_group_symop_operation_xyz
'x,y,z'
loop_
_atom_site_label
_atom_site_type_symbol
_atom_site_fract_x
_atom_site_fract_y
_atom_site_fract_z
_atom_site_occupancy
Cs1 Cs 0.164 0.836 0.000 1
Cs2 Cs 0.836 0.164 0.000 1
Nd1 Nd 0.335 0.665 0.500 1
Nd2 Nd 0.665 0.335 0.500 1
Pt1 Pt 0.000 0.000 0.500 1
O1 O 0.044 0.346 0.656 1
O2 O 0.247 0.247 0.339 1
O3 O 0.346 0.044 0.656 1
O4 O 0.654 0.956 0.344 1
O5 O 0.753 0.753 0.661 1
O6 O 0.956 0.654 0.344 1
```

Values from the calculation:
- Formation energy without anion corrections: -1953.3 meV per atom
- Crystal system: monoclinic

=====

| no. | density of states at the Fermi level (states/eV per cell) |
| --- | --- |
| 1 | 3.503 |
| 2 | 0.000 |